Record 1
DFT (PBE-GGA) results for an optimized crystal structure of La2Ga5Rh.

## Properties
The energy of formation comes out at -0.5812 eV/atom. The calculation puts the polymorph energy (0 for the lowest one) at 65 meV per atom. Its raw total energy is -4.62 eV/atom.

POSCAR file:
```
La2Ga5Rh
1.0
-3.098 3.098 4.702
3.098 -3.098 4.702
3.098 3.098 -4.702
La Ga Rh
2 5 1
direct
0.000 0.500 0.500 La
0.500 0.000 0.500 La
0.035 0.035 0.568 Ga
0.035 0.468 0.000 Ga
0.464 0.464 0.000 Ga
0.468 0.035 0.000 Ga
0.468 0.468 0.432 Ga
0.725 0.725 0.000 Rh
```

Record 2
DFT (PBE-GGA) results for an optimized crystal structure of KSrSn2.

## Properties
The energy of formation comes out at -0.4248 eV/atom. The calculation puts the polymorph energy (0 for the lowest one) at 44 meV per atom. Its raw total energy is -3.12 eV/atom.

POSCAR file:
```
KSrSn2
1.0
6.629 0.000 0.000
0.000 7.894 0.000
0.000 0.000 10.744
K Sr Sn
4 4 8
direct
0.010 0.250 0.219 K
0.490 0.750 0.719 K
0.510 0.250 0.281 K
0.990 0.750 0.781 K
0.157 0.750 0.130 Sr
0.343 0.250 0.630 Sr
0.657 0.750 0.370 Sr
0.843 0.250 0.870 Sr
0.174 0.567 0.433 Sn
0.174 0.933 0.433 Sn
0.326 0.067 0.933 Sn
0.326 0.433 0.933 Sn
0.674 0.567 0.067 Sn
0.674 0.933 0.067 Sn
0.826 0.067 0.567 Sn
0.826 0.433 0.567 Sn
```

Record 3
DFT (PBE-GGA) results for an optimized crystal structure of Fe2CoAg.

## Properties
The energy of formation comes out at 0.2223 eV/atom. The calculation puts the polymorph energy (0 for the lowest one) at 17 meV per atom. Its raw total energy is -6.50 eV/atom.

POSCAR file:
```
Fe2CoAg
1.0
2.814 0.000 0.000
0.000 2.826 0.000
-0.012 0.000 6.669
Fe Co Ag
2 1 1
direct
0.000 0.000 0.000 Fe
0.500 0.500 0.229 Fe
0.000 0.000 0.427 Co
0.500 0.500 0.712 Ag
```

Record 4
DFT (PBE-GGA) results for an optimized crystal structure of CaDy4PuSe8.

## Properties
As for the uncorrected formation energy: -1.74 eV/atom. Its raw total energy is -6.21 eV/atom.

POSCAR file:
```
CaDy4PuSe8
1.0
4.238 2.447 6.981
-4.238 2.447 6.981
0.000 -4.894 6.981
Ca Dy Pu Se
1 4 1 8
direct
0.000 0.000 0.000 Ca
0.118 0.626 0.626 Dy
0.249 0.249 0.249 Dy
0.626 0.118 0.626 Dy
0.626 0.626 0.118 Dy
0.625 0.625 0.625 Pu
0.377 0.377 0.853 Se
0.377 0.853 0.377 Se
0.382 0.382 0.382 Se
0.404 0.869 0.869 Se
0.853 0.377 0.377 Se
0.865 0.865 0.865 Se
0.869 0.404 0.869 Se
0.869 0.869 0.404 Se
```

Record 5
DFT (PBE-GGA) results for an optimized crystal structure of KCdAs2.

## Properties
The energy of formation comes out at 0.1316 eV/atom. Its raw total energy is -2.70 eV/atom.

POSCAR file:
```
KCdAs2
1.0
-2.063 2.603 4.608
2.063 -2.603 4.608
2.063 2.603 -4.608
K Cd As
1 1 2
direct
0.000 0.000 0.000 K
0.500 0.500 0.000 Cd
0.272 0.772 0.500 As
0.728 0.228 0.500 As
```

Record 6
DFT (PBE-GGA) results for an optimized crystal structure of AlAgPd3.

## Properties
The energy of formation comes out at -0.3538 eV/atom. The calculation puts the polymorph energy (0 for the lowest one) at 0 meV per atom. Its raw total energy is -4.79 eV/atom.

POSCAR file:
```
AlAgPd3
1.0
5.391 0.000 0.000
0.684 5.350 0.000
1.915 1.858 5.597
Al Ag Pd
2 2 6
direct
0.000 0.000 0.000 Al
0.500 0.000 0.000 Al
0.185 0.417 0.160 Ag
0.815 0.583 0.840 Ag
0.136 0.830 0.368 Pd
0.319 0.345 0.688 Pd
0.365 0.829 0.717 Pd
0.635 0.171 0.283 Pd
0.681 0.655 0.312 Pd
0.864 0.170 0.632 Pd
```

Record 7
DFT (PBE-GGA) results for an optimized crystal structure of AlOs2WCl.

## Properties
As for the uncorrected formation energy: 2.25 eV/atom. Its raw total energy is -5.96 eV/atom.

POSCAR file:
```
AlOs2WCl
1.0
4.513 0.000 0.000
0.000 4.513 0.000
0.000 0.000 4.813
Al Os W Cl
1 2 1 1
direct
0.000 0.000 0.000 Al
0.000 0.500 0.000 Os
0.500 0.000 0.000 Os
0.000 0.000 0.500 W
0.500 0.500 0.500 Cl
```

Record 8
DFT (PBE-GGA) results for an optimized crystal structure of LiGdRhPb.

## Properties
The energy of formation comes out at -0.5147 eV/atom. Its raw total energy is -7.28 eV/atom.

POSCAR file:
```
LiGdRhPb
1.0
0.000 3.414 3.414
3.414 0.000 3.414
3.414 3.414 0.000
Li Gd Rh Pb
1 1 1 1
direct
0.000 0.000 0.000 Li
0.750 0.750 0.750 Gd
0.500 0.500 0.500 Rh
0.250 0.250 0.250 Pb
```